4
Lattice="3.522 0.000 0.000 1.761 3.050 0.000 1.761 1.017 11.307" Properties=species:S:1:pos:R:3 comment="PBE TmLu2Th, relaxed" n_ef_per_ev_atom=1.58 sg="R-3m, No. 166" e_above_lowest_polymorph_ev_per_atom=0.005 pbc="T T T"
Tm 0.000 0.000 0.000
Lu 1.761 1.017 2.848
Lu 5.284 3.050 8.459
Th 3.522 2.034 5.654

***

7
Lattice="-2.917 1.939 -1.165 -0.882 -1.137 -5.535 -4.503 -3.614 -0.589" Properties=species:S:1:pos:R:3 comment="PBE Dy2B2Os2C, relaxed" n_ef_per_ev_atom=0.48 sg="C2/m, No. 12" pbc="T T T"
B -2.025 -1.012 -2.464
B -6.278 -1.800 -4.824
Os -3.057 0.810 -2.694
Os -5.245 -3.622 -4.594
Dy -3.425 -1.240 -5.187
Dy -4.877 -1.571 -2.101
C 0.000 0.000 0.000

***

14
Lattice="0.523 -8.737 -0.064 3.981 3.322 7.051 -8.524 1.988 -0.009" Properties=species:S:1:pos:R:3 comment="PBE CaPr8Sm5, relaxed" n_ef_per_ev_atom=1.53 sg="I-4, No. 82" pbc="T T T"
Sm -4.001 -3.375 -0.036
Sm -2.986 -3.447 4.779
Sm 2.504 -4.217 6.301
Sm 0.131 1.002 2.211
Sm -7.688 -0.192 0.668
Ca -4.272 0.968 3.503
Pr -3.176 -0.296 6.396
Pr -1.411 -4.844 1.732
Pr -4.780 -6.450 0.548
Pr -2.430 -1.263 1.830
Pr -1.013 2.764 5.262
Pr -5.949 -2.714 2.750
Pr 2.347 1.156 5.184
Pr 0.333 -2.059 4.215

***

8
Lattice="-6.576 1.737 -2.460 -5.887 -1.218 4.297 -3.420 6.838 3.304" Properties=species:S:1:pos:R:3 comment="PBE MoSe2Br5, relaxed" raw_formation_energy_ev_per_atom=-0.244 n_ef_per_ev_atom=0.05 sg="P1, No. 1" pbc="T T T"
Se -9.474 4.083 1.998
Se -7.482 3.568 2.739
Br -9.243 -0.329 3.038
Br -9.127 6.036 -0.007
Br -5.062 -0.369 2.549
Br -10.902 7.739 2.567
Br -11.320 2.521 3.440
Mo -8.967 8.300 1.228

***

8
Lattice="-2.744 2.746 0.944 -4.938 -4.006 -2.749 2.174 -3.619 5.330" Properties=species:S:1:pos:R:3 comment="PBE LiHCl2, relaxed" n_ef_per_ev_atom=0.00 sg="P1, No. 1" e_above_lowest_polymorph_ev_per_atom=0.000 pbc="T T T"
Li -4.131 -3.855 0.721
Li -3.038 -0.476 2.565
Cl -5.197 -4.681 2.850
Cl -6.260 -2.867 0.179
Cl -1.362 -4.045 3.751
Cl -2.422 -2.233 1.078
H -6.685 -1.765 -1.588
H -2.851 -1.129 -0.687

***

5
Lattice="-2.785 -4.895 2.210 3.594 -3.539 -3.311 3.982 -0.212 4.550" Properties=species:S:1:pos:R:3 comment="PBE NaSn2IBr, relaxed" raw_formation_energy_ev_per_atom=0.251 n_ef_per_ev_atom=0.99 sg="P4/mmm, No. 123" pbc="T T T"
Na 1.797 -1.770 -1.655
Sn 1.991 -0.106 2.275
Sn -1.393 -2.448 1.105
I 0.000 0.000 0.000
Br 2.396 -4.323 1.725

***

5
Lattice="-4.186 -0.451 0.041 0.071 -0.272 4.202 -0.448 4.178 0.278" Properties=species:S:1:pos:R:3 comment="PBE W3CCl, relaxed" raw_formation_energy_ev_per_atom=1.113 n_ef_per_ev_atom=0.89 sg="Pm-3m, No. 221" e_above_lowest_polymorph_ev_per_atom=0.000 pbc="T T T"
C 0.000 0.000 0.000
W 0.035 -0.136 2.101
W -2.093 -0.226 0.021
W -0.224 2.089 0.139
Cl -2.282 1.727 2.260

***

5
Lattice="5.584 0.000 0.000 0.000 5.584 0.000 0.000 0.000 5.584" Properties=species:S:1:pos:R:3 comment="PBE Ca3NbZn, relaxed" n_ef_per_ev_atom=1.02 sg="Pm-3m, No. 221" e_above_lowest_polymorph_ev_per_atom=0.000 pbc="T T T"
Nb 2.792 2.792 2.792
Ca 0.000 0.000 2.792
Ca 2.792 0.000 0.000
Ca 0.000 2.792 0.000
Zn 0.000 0.000 0.000

***

6
Lattice="0.000 3.650 3.650 3.650 0.000 3.650 3.650 3.650 0.000" Properties=species:S:1:pos:R:3 comment="PBE Cu4HgPb, relaxed" n_ef_per_ev_atom=0.34 sg="F-43m, No. 216" pbc="T T T"
Cu 2.743 4.557 4.557
Cu 2.743 2.743 2.743
Cu 4.557 4.557 2.743
Cu 4.557 2.743 4.557
Pb 0.000 0.000 0.000
Hg 5.475 5.475 5.475

***

20
Lattice="8.562 0.000 2.791 -4.084 6.875 2.844 0.394 0.000 8.478" Properties=species:S:1:pos:R:3 comment="PBE CaCd12Hg7, relaxed" n_ef_per_ev_atom=0.34 sg="R-3, No. 148" e_above_lowest_polymorph_ev_per_atom=0.014 pbc="T T T"
Hg 1.275 0.762 2.900
Hg -1.916 4.449 3.003
Hg 1.901 5.211 6.731
Hg 2.971 1.664 7.382
Hg 4.281 0.000 1.395
Hg 6.788 2.427 11.110
Hg 3.597 6.113 11.213
Cd 3.815 2.898 10.481
Cd 5.920 2.180 8.084
Cd 1.004 3.253 9.106
Cd 4.405 4.896 8.359
Cd 3.868 3.622 5.007
Cd -1.048 4.695 6.029
Cd 0.901 6.157 9.735
Cd 6.889 1.274 5.423
Cd 0.467 1.979 5.753
Cd 3.970 0.718 4.378
Cd 1.056 3.977 3.632
Cd -2.018 5.602 8.690
Ca 0.000 0.000 0.000

***

3
Lattice="4.434 0.000 0.000 0.000 3.536 0.000 0.000 -1.768 3.062" Properties=species:S:1:pos:R:3 comment="PBE GdRuC, relaxed" n_ef_per_ev_atom=0.89 sg="P-6m2, No. 187" pbc="T T T"
Gd 2.956 1.768 1.021
C 0.739 0.000 0.000
Ru 0.739 0.000 2.042

***

4
Lattice="3.162 0.000 0.000 1.581 2.739 0.000 1.581 0.913 9.338" Properties=species:S:1:pos:R:3 comment="PBE VGaCl2, relaxed" raw_formation_energy_ev_per_atom=-0.519 n_ef_per_ev_atom=0.60 sg="R-3m, No. 166" e_above_lowest_polymorph_ev_per_atom=0.000 pbc="T T T"
Cl 4.744 2.739 3.089
Cl 1.581 0.913 6.248
V 3.162 1.826 4.669
Ga 0.000 0.000 0.000

***

DFT total energy readings, ordered: -5.20, -8.22, -4.33, -3.52, -3.39, -2.26, -8.87, -2.74, -3.24, -0.79, -10.88, -4.48 eV per atom